(1)
First-principles (GGA-PBE) data for crystalline PmMgF at its relaxed geometry, as listed in Alexandria via LeMat-Bulk.

Cell lengths 12.942, 3.665, 3.665 Å; angles 52.53, 90.00, 90.00 degrees
Fractional coordinates of all 6 atoms:
Pm 0.213 0.000 0.000
Pm 0.787 0.000 0.000
Mg 0.000 0.298 0.298
Mg 0.500 0.499 0.499
F 0.403 0.000 0.000
F 0.597 0.000 0.000

Properties
Raw total energy in eV per atom: -4.19


(2)
First-principles (GGA-PBE) data for crystalline Y2CdS2 at its relaxed geometry, as listed in Alexandria via LeMat-Bulk.

Cell lengths 7.831, 7.831, 3.501 Å; angles 90.00, 90.00, 90.00 degrees
Fractional coordinates of all 10 atoms:
Y 0.159 0.341 0.000
Y 0.341 0.841 0.000
Y 0.659 0.159 0.000
Y 0.841 0.659 0.000
Cd 0.000 0.000 0.500
Cd 0.500 0.500 0.500
S 0.137 0.637 0.500
S 0.363 0.137 0.500
S 0.637 0.863 0.500
S 0.863 0.363 0.500

Properties
Raw total energy in eV per atom: -5.69


(3)
First-principles (GGA-PBE) data for crystalline TcOsBr2 at its relaxed geometry, as listed in Alexandria via LeMat-Bulk.

Cell lengths 10.000, 10.000, 10.000 Å; angles 17.59, 17.59, 17.59 degrees
Fractional coordinates of all 4 atoms:
Tc 0.000 0.000 0.000
Os 0.733 0.733 0.733
Br 0.266 0.266 0.266
Br 0.472 0.472 0.472

Properties
Raw total energy in eV per atom: -5.70